Record 1
Density functional theory data (PBE) for crystalline NdPaHgPb at its relaxed geometry.

Size of the total moment in μB per formula unit: 1.64
Energy of formation in eV/atom: -0.059

Lattice parameters (Å, degrees): 7.6731 7.6731 7.6731 90.00 90.00 90.00
Last column: nearest neighbours and their distance in Å.
Space group F-43m (No. 216)
One atom of each set of equivalent atoms:
Nd: 0.0000 0.0000 0.0000 [4 per cell]  4 Hg 3.32, 4 Pb 3.32
Pa: 0.0000 0.0000 0.5000 [4 per cell]  4 Pb 3.32, 4 Hg 3.32
Hg: 0.2500 0.2500 0.7500 [4 per cell]  4 Pa 3.32, 4 Nd 3.32
Pb: 0.2500 0.2500 0.2500 [4 per cell]  4 Nd 3.32, 4 Pa 3.32

---

Record 2
Density functional theory data (PBE) for crystalline MnTe2W at its relaxed geometry.

E in eV per atom: -6.24
Size of the total moment in μB per formula unit: 3.82

Lattice parameters (Å, degrees): 3.4604 5.4968 8.7681 90.00 90.00 90.00
Last column: nearest neighbours and their distance in Å.
Space group Cmmm (No. 65)
One atom of each set of equivalent atoms:
Mn: 0.0000 0.0000 0.0000 [2 per cell]  4 Te 2.80
Te: 0.0000 0.5000 0.2517 [4 per cell]  2 W 2.78, 2 Mn 2.80
W: 0.0000 0.0000 0.5000 [2 per cell]  4 Te 2.78

---

Record 3
Density functional theory data (PBE) for crystalline AcPmNdTe3 at its relaxed geometry.

E in eV per atom: -5.17
Size of the total moment in μB per formula unit: 0.80

Lattice parameters (Å, degrees): 8.8868 4.4849 11.1826 90.00 107.03 90.00
Last column: nearest neighbours and their distance in Å.
Space group P2_1/m (No. 11)
One atom of each set of equivalent atoms:
Ac: 0.1911 0.2500 0.2200 [2 per cell]  7 Te 3.35-3.47
Pm: 0.3429 0.7500 0.9005 [2 per cell]  5 Te 3.13-3.21
Nd: 0.1503 0.2500 0.6214 [2 per cell]  5 Te 3.15-3.33
Te: 0.0947 0.2500 0.8956 [2 per cell]  2 Pm 3.13, 1 Nd 3.25, 3 Ac 3.35-3.47
Te: 0.2303 0.7500 0.4521 [2 per cell]  3 Nd 3.15-3.24, 2 Ac 3.37
Te: 0.4762 0.7500 0.2004 [2 per cell]  3 Pm 3.15-3.21, 1 Nd 3.33, 2 Ac 3.44

---

Record 4
Density functional theory data (PBE) for crystalline Lu2FeCu at its relaxed geometry.

Size of the total moment in μB per formula unit: 0.00
Energy of formation in eV/atom: -0.135

Lattice parameters (Å, degrees): 3.2758 3.2758 6.8287 90.00 90.00 90.00
Last column: nearest neighbours and their distance in Å.
Space group P4/mmm (No. 123)
One atom of each set of equivalent atoms:
Lu: 0.0000 0.0000 0.2323 [2 per cell]  4 Fe 2.81, 4 Cu 2.95
Fe: 0.5000 0.5000 0.0000 [1 per cell]  8 Lu 2.81
Cu: 0.5000 0.5000 0.5000 [1 per cell]  8 Lu 2.95, 4 Cu 3.28